{"formula": "MgGaSn2", "functional": "GGA-PBEsol", "state": "relaxed", "crystal_system": "cubic", "spacegroup": "Fm-3m, No. 225", "de_polymorph_ev_per_atom": 0.000, "lattice": [[5.0606, 0.0000, 0.0000], [2.5303, 4.3826, 0.0000], [2.5303, 1.4609, 4.1319]], "species": ["Sn", "Sn", "Mg", "Ga"], "frac_coords": [[0.7500, 0.7500, 0.7500], [0.2500, 0.2500, 0.2500], [0.0000, 0.0000, 0.0000], [0.5000, 0.5000, 0.5000]]}